# TaSbAsSe2 PBE-GGA optimized geometry
data_TaSbAsSe2
_cell_length_a 4.9439
_cell_length_b 4.9439
_cell_length_c 5.2433
_cell_angle_alpha 90.00
_cell_angle_beta 90.00
_cell_angle_gamma 90.00
_symmetry_space_group_name_H-M 'P 4/m m m'
_symmetry_Int_Tables_number 123
_symmetry_space_group_name_Hall '-P 4 2'
loop_
_atom_site_label
_atom_site_type_symbol
_atom_site_fract_x
_atom_site_fract_y
_atom_site_fract_z
Ta1 Ta 0.0000 0.0000 0.0000
Sb1 Sb 0.5000 0.5000 0.5000
As1 As 0.0000 0.0000 0.5000
Se1 Se 0.0000 0.5000 0.0000
# formation energy without anion corrections: 17.3 kJ/mol of atoms
# mass density: 6.9 g/cm³
# calculated total energy: -26.70 eV for the cell shown
# energy above the lowest structure with this stoichiometry: 0.000 eV/atom



# Na3GeAu PBE-GGA optimized geometry
data_Na3GeAu
_cell_length_a 5.4349
_cell_length_b 5.4349
_cell_length_c 5.4349
_cell_angle_alpha 90.00
_cell_angle_beta 90.00
_cell_angle_gamma 90.00
_symmetry_space_group_name_H-M 'P m -3 m'
_symmetry_Int_Tables_number 221
_symmetry_space_group_name_Hall '-P 4 2 3'
loop_
_atom_site_label
_atom_site_type_symbol
_atom_site_fract_x
_atom_site_fract_y
_atom_site_fract_z
Na1 Na 0.0000 0.0000 0.5000
Ge1 Ge 0.5000 0.5000 0.5000
Au1 Au 0.0000 0.0000 0.0000
# E_form: 21 kJ per mole of atoms
# mass density: 3.5 g/cm³
# calculated total energy: -10.76 eV for the cell shown
# energy above the lowest structure with this stoichiometry: 0.459 eV/atom



# BaNa2Se2O6 PBE-GGA optimized geometry
data_BaNa2Se2O6
_cell_length_a 4.8196
_cell_length_b 5.9284
_cell_length_c 7.8415
_cell_angle_alpha 78.49
_cell_angle_beta 72.56
_cell_angle_gamma 67.03
_symmetry_space_group_name_H-M 'P -1'
_symmetry_Int_Tables_number 2
_symmetry_space_group_name_Hall '-P 1'
loop_
_atom_site_label
_atom_site_type_symbol
_atom_site_fract_x
_atom_site_fract_y
_atom_site_fract_z
Ba1 Ba 0.0000 0.0000 0.0000
Na1 Na 0.4850 0.6868 0.3206
Se1 Se 0.1550 0.2914 0.3356
O1 O 0.1094 0.5818 0.2218
O2 O 0.2068 0.7251 0.6330
O3 O 0.3784 0.0886 0.1729
# formation energy without anion corrections: -154.8 kJ/mol of atoms
# mass density: 3.7 g/cm³
# calculated total energy: -58.93 eV for the cell shown



# BaTl2Rh3F12 PBE-GGA optimized geometry
data_BaTl2Rh3F12
_cell_length_a 7.7698
_cell_length_b 7.7698
_cell_length_c 17.7753
_cell_angle_alpha 90.00
_cell_angle_beta 90.00
_cell_angle_gamma 120.00
_symmetry_space_group_name_H-M 'R -3 m'
_symmetry_Int_Tables_number 166
_symmetry_space_group_name_Hall '-R 3 2"'
loop_
_atom_site_label
_atom_site_type_symbol
_atom_site_fract_x
_atom_site_fract_y
_atom_site_fract_z
Ba1 Ba 0.0000 0.0000 0.0000
Tl1 Tl 0.0000 0.0000 0.3773
Rh1 Rh 0.0000 0.5000 0.5000
F1 F 0.0481 0.5240 0.3879
F2 F 0.0815 0.5407 0.8073
# formation energy without anion corrections: -188.8 kJ/mol of atoms
# mass density: 5.8 g/cm³
# calculated total energy: -259.14 eV for the cell shown



# YSi4Te PBE-GGA optimized geometry
data_YSi4Te
_cell_length_a 7.6085
_cell_length_b 7.6085
_cell_length_c 7.6085
_cell_angle_alpha 90.00
_cell_angle_beta 90.00
_cell_angle_gamma 90.00
_symmetry_space_group_name_H-M 'F -4 3 m'
_symmetry_Int_Tables_number 216
_symmetry_space_group_name_Hall 'F -4 2 3'
loop_
_atom_site_label
_atom_site_type_symbol
_atom_site_fract_x
_atom_site_fract_y
_atom_site_fract_z
Y1 Y 0.0000 0.0000 0.0000
Si1 Si 0.1242 0.1242 0.6242
Te1 Te 0.2500 0.2500 0.2500
# formation energy without anion corrections: -5.6 kJ/mol of atoms
# mass density: 5.0 g/cm³
# calculated total energy: -126.57 eV for the cell shown



# DyHo6Tm PBE-GGA optimized geometry
data_DyHo6Tm
_cell_length_a 7.1712
_cell_length_b 7.1712
_cell_length_c 5.5891
_cell_angle_alpha 90.00
_cell_angle_beta 90.00
_cell_angle_gamma 120.00
_symmetry_space_group_name_H-M 'P -6 m 2'
_symmetry_Int_Tables_number 187
_symmetry_space_group_name_Hall 'P -6 2'
loop_
_atom_site_label
_atom_site_type_symbol
_atom_site_fract_x
_atom_site_fract_y
_atom_site_fract_z
Dy1 Dy 0.0000 0.0000 0.0000
Ho1 Ho 0.0001 0.5001 0.0000
Ho2 Ho 0.1665 0.3330 0.5000
Tm1 Tm 0.6667 0.3333 0.5000
# E_form: 1 kJ per mole of atoms
# mass density: 8.8 g/cm³
# calculated total energy: -36.49 eV for the cell shown



# Sr2HgAs PBE-GGA optimized geometry
data_Sr2HgAs
_cell_length_a 3.9181
_cell_length_b 4.0261
_cell_length_c 7.5850
_cell_angle_alpha 90.00
_cell_angle_beta 90.00
_cell_angle_gamma 90.00
_symmetry_space_group_name_H-M 'P m m m'
_symmetry_Int_Tables_number 47
_symmetry_space_group_name_Hall '-P 2 2'
loop_
_atom_site_label
_atom_site_type_symbol
_atom_site_fract_x
_atom_site_fract_y
_atom_site_fract_z
Sr1 Sr 0.0000 0.0000 0.2217
Hg1 Hg 0.5000 0.5000 0.5000
As1 As 0.5000 0.5000 0.0000
# E_form: -77 kJ per mole of atoms
# mass density: 6.3 g/cm³
# calculated total energy: -11.49 eV for the cell shown
# energy above the lowest structure with this stoichiometry: 0.033 eV/atom



# HgRu2 PBE-GGA optimized geometry
data_HgRu2
_cell_length_a 4.3946
_cell_length_b 4.3946
_cell_length_c 6.0029
_cell_angle_alpha 90.00
_cell_angle_beta 90.00
_cell_angle_gamma 120.00
_symmetry_space_group_name_H-M 'P 63/m m c'
_symmetry_Int_Tables_number 194
_symmetry_space_group_name_Hall '-P 6c 2c'
loop_
_atom_site_label
_atom_site_type_symbol
_atom_site_fract_x
_atom_site_fract_y
_atom_site_fract_z
Hg1 Hg 0.0000 0.0000 0.2500
Ru1 Ru 0.3333 0.6667 0.0320
# E_form: 57 kJ per mole of atoms
# mass density: 13.3 g/cm³
# calculated total energy: -34.17 eV for the cell shown
# energy above the lowest structure with this stoichiometry: 0.278 eV/atom